Record 1
A relaxed structure of TaSb2TePt, computed with PBE.

abc: 5.302 5.302 5.221
angles: 90.00 90.00 90.00
Atoms (fractional coordinates):
Ta: 0.000 0.000 0.000
Sb: 0.000 0.500 0.000
Sb: 0.500 0.000 0.000
Te: 0.000 0.000 0.500
Pt: 0.500 0.500 0.500

Output
The value obtained for the density of states at the Fermi level is 0.6865 states/eV/atom. The volume comes out at 29.4 A^3/atom. The raw formation energy comes out at 808 meV per atom. For the energy relative to the lowest polymorph listed for this composition, the calculation gives 0 meV per atom.

Record 2
A relaxed structure of TaSb2PtW, computed with PBE.

abc: 5.239 5.239 4.935
angles: 90.00 90.00 90.00
Atoms (fractional coordinates):
Ta: 0.000 0.000 0.000
Sb: 0.000 0.500 0.000
Sb: 0.500 0.000 0.000
Pt: 0.000 0.000 0.500
W: 0.500 0.500 0.500

Output
The value obtained for the density of states at the Fermi level is 0.8308 states/eV/atom. The volume comes out at 27.1 A^3/atom. The raw formation energy comes out at 1551 meV per atom. For the energy relative to the lowest polymorph listed for this composition, the calculation gives 0 meV per atom.